a | Density functional theory data (GGA-PBE) for a relaxed VSi2Ru4 crystal. Values from VASP.

Structure (Quantum ESPRESSO input):
```
&SYSTEM
  ibrav = 0, nat = 7, ntyp = 3
/
ATOMIC_SPECIES
Ru 101.07 Ru.upf
V 50.94 V.upf
Si 28.09 Si.upf
CELL_PARAMETERS angstrom
-3.164 2.151 -2.248
-3.079 -1.705 2.703
-2.522 4.901 3.860
ATOMIC_POSITIONS angstrom
Ru -2.756 3.078 2.445
Ru -6.010 2.269 1.870
V 0.000 0.000 0.000
Ru -1.582 1.076 -1.124
Si -5.778 4.077 3.274
Ru -1.540 -0.852 1.351
Si -2.987 1.271 1.041
```

b | Density functional theory data (GGA-PBE) for a relaxed VSi2Ru4 crystal. Values from VASP.

Structure (Quantum ESPRESSO input):
```
&SYSTEM
  ibrav = 0, nat = 7, ntyp = 3
/
ATOMIC_SPECIES
Ru 101.07 Ru.upf
V 50.94 V.upf
Si 28.09 Si.upf
CELL_PARAMETERS angstrom
3.937 0.000 1.230
1.777 3.514 1.230
-0.052 -0.032 7.083
ATOMIC_POSITIONS angstrom
Ru 3.568 2.194 2.411
Ru 0.689 0.424 4.710
Ru 2.094 1.288 7.132
V 0.000 0.000 0.000
Si 1.405 0.864 2.421
Si 4.258 2.618 7.122
Ru 4.973 3.058 4.833
```

So which one is most stable? That would be b, about 1.164 eV/atom below the next structure.